A plane-wave DFT calculation with SCAN was carried out for a PBEsol-optimized structure of Li4Ti3Fe2Sn3O16.

a = 6.0864 Å, b = 6.0864 Å, c = 9.3106 Å
α = 91.44°, β = 91.44°, γ = 59.41°
Closest atoms and distances in Å follow each position.
Positions (direct):
Li: 0.0000 0.0000 0.0000  3 O 1.92-1.99
Li: 0.2120 0.2120 0.8883  3 O 1.92-1.98
Li: 0.5325 0.5325 0.4209  4 O 1.92-2.05
Li: 0.8513 0.8513 0.5288  1 O 1.72
Ti: 0.0468 0.0468 0.2825  4 O 1.90-2.11
Ti: 0.2023 0.6965 0.7344  6 O 1.97-2.02
Ti: 0.6965 0.2023 0.7344  6 O 1.97-2.02
Fe: 0.1976 0.1976 0.5041  5 O 1.93-2.09
Fe: 0.5275 0.5275 0.0225  6 O 2.02-2.20
Sn: 0.0405 0.5382 0.2267  6 O 2.02-2.18
Sn: 0.5382 0.0405 0.2267  6 O 2.02-2.18
Sn: 0.6963 0.6963 0.7516  6 O 2.07-2.15
O: 0.0238 0.0238 0.6234  1 Li 2.00, 2 Ti 2.02, 1 Fe 2.17
O: 0.0401 0.5310 0.6290  1 Li 1.94, 1 Ti 1.97, 1 Fe 2.09, 1 Sn 2.15
O: 0.1855 0.1855 0.1235  2 Sn 2.08, 1 Ti 2.11, 2 Li 2.22-2.24
O: 0.2054 0.7207 0.1378  1 Li 1.99, 1 Fe 2.02, 1 Sn 2.04, 1 Ti 2.16
O: 0.3410 0.3410 0.3767  1 Fe 1.95, 1 Li 2.05, 2 Sn 2.11
O: 0.3624 0.8383 0.8665  1 Li 1.98, 1 Ti 1.99, 1 Sn 2.07, 1 Fe 2.20
O: 0.3689 0.9032 0.3783  1 Ti 1.90, 1 Fe 1.93, 1 Li 1.99
O: 0.3915 0.3915 0.8595  1 Li 1.92, 2 Ti 2.00, 1 Fe 2.06
O: 0.5269 0.5269 0.6263  1 Li 1.92, 2 Ti 1.99, 1 Sn 2.11
O: 0.5310 0.0401 0.6290  1 Li 1.94, 1 Ti 1.97, 1 Fe 2.09, 1 Sn 2.15
O: 0.7021 0.7021 0.1195  2 Sn 2.02, 1 Fe 2.03
O: 0.7207 0.2054 0.1378  1 Li 1.99, 1 Fe 2.02, 1 Sn 2.04, 1 Ti 2.16
O: 0.8383 0.3624 0.8665  1 Li 1.98, 1 Ti 1.99, 1 Sn 2.07, 1 Fe 2.20
O: 0.8769 0.8769 0.8446  1 Li 1.92, 2 Ti 2.00, 1 Sn 2.07
O: 0.8777 0.8777 0.3471  1 Li 1.72, 1 Ti 1.90
O: 0.9032 0.3689 0.3783  1 Ti 1.90, 1 Fe 1.93, 1 Li 1.99

Results
**Formation energy from raw total energies**: -62.8 eV/f.u.
**Space-group type**: Cm, No. 8
**Magnetic moment**: 4.1 μB per cell

***

A plane-wave DFT calculation with SCAN was carried out for a PBEsol-optimized structure of Li4TiFe3O8.

a = 5.0473 Å, b = 5.4416 Å, c = 6.3372 Å
α = 90.51°, β = 90.25°, γ = 90.10°
Closest atoms and distances in Å follow each position.
Positions (direct):
Li: 0.0000 0.0000 0.0000  4 O 1.95-1.99
Li: 0.0003 0.4972 0.2521  4 O 1.96-1.99
Li: 0.4960 0.1583 0.7488  4 O 1.95-1.99
Li: 0.4962 0.6600 0.4960  4 O 1.96-2.00
Ti: 0.5014 0.6573 0.9970  4 O 1.83-1.84
Fe: 0.0020 0.9999 0.5031  4 O 1.84-1.86
Fe: 0.5137 0.1525 0.2586  4 O 1.83-1.96
Fe: 0.9903 0.4919 0.7372  4 O 1.84-1.97
O: 0.3669 0.0019 0.4897  2 Fe 1.84, 2 Li 1.95-1.97
O: 0.3790 0.5027 0.7571  1 Ti 1.84, 2 Li 1.96-1.97, 1 Fe 1.97
O: 0.3912 0.9784 0.0048  1 Ti 1.83, 1 Fe 1.96, 2 Li 1.98
O: 0.3927 0.4905 0.2320  1 Ti 1.84, 1 Fe 1.95, 2 Li 1.97-1.99
O: 0.8649 0.6563 0.9954  1 Ti 1.84, 1 Fe 1.97, 2 Li 1.97-1.99
O: 0.8767 0.1550 0.2621  2 Fe 1.83-1.86, 2 Li 1.96
O: 0.8906 0.1672 0.7424  2 Fe 1.84-1.85, 2 Li 1.95-1.99
O: 0.8914 0.6771 0.5085  2 Fe 1.84, 2 Li 1.97-2.00

Results
**Formation energy from raw total energies**: -35.1 eV/f.u.
**Space-group type**: P1, No. 1
**Magnetic moment**: 4.0 μB per cell

***

A plane-wave DFT calculation with SCAN was carried out for a PBEsol-optimized structure of Li2TiFe3O8.

a = 5.5931 Å, b = 5.5931 Å, c = 9.2931 Å
α = 90.00°, β = 90.00°, γ = 120.00°
Closest atoms and distances in Å follow each position.
Positions (direct):
Li: 0.0000 0.0000 0.0000  4 O 1.77-1.88
Li: 0.0000 0.0000 0.5000  4 O 1.77-1.88
Li: 0.3333 0.6667 0.1026  4 O 1.86-1.93
Li: 0.6667 0.3333 0.6026  4 O 1.86-1.93
Ti: 0.3333 0.6667 0.4999  6 O 1.91-2.06
Ti: 0.6667 0.3333 0.9999  6 O 1.91-2.06
Fe: 0.1743 0.3486 0.7806  6 O 1.87-1.95
Fe: 0.1743 0.8257 0.7806  6 O 1.87-1.95
Fe: 0.3486 0.1743 0.2806  6 O 1.87-1.95
Fe: 0.6514 0.8257 0.7806  6 O 1.87-1.95
Fe: 0.8257 0.1743 0.2806  6 O 1.87-1.95
Fe: 0.8257 0.6514 0.2806  6 O 1.87-1.95
O: 0.0000 0.0000 0.1908  1 Li 1.77, 3 Fe 1.88
O: 0.0000 0.0000 0.6908  1 Li 1.77, 3 Fe 1.88
O: 0.0354 0.5177 0.6583  1 Li 1.86, 2 Fe 1.88, 1 Ti 2.06
O: 0.1650 0.3301 0.3938  1 Li 1.88, 1 Ti 1.91, 2 Fe 1.95
O: 0.1650 0.8350 0.3938  1 Li 1.88, 1 Ti 1.91, 2 Fe 1.95
O: 0.3301 0.1650 0.8938  1 Li 1.88, 1 Ti 1.91, 2 Fe 1.95
O: 0.3333 0.6667 0.8946  3 Fe 1.87, 1 Li 1.93
O: 0.4823 0.5177 0.6583  1 Li 1.86, 2 Fe 1.88, 1 Ti 2.06
O: 0.4823 0.9646 0.6583  1 Li 1.86, 2 Fe 1.88, 1 Ti 2.06
O: 0.5177 0.0354 0.1583  1 Li 1.86, 2 Fe 1.88, 1 Ti 2.06
O: 0.5177 0.4823 0.1583  1 Li 1.86, 2 Fe 1.88, 1 Ti 2.06
O: 0.6667 0.3333 0.3946  3 Fe 1.87, 1 Li 1.93
O: 0.6699 0.8350 0.3938  1 Li 1.88, 1 Ti 1.91, 2 Fe 1.95
O: 0.8350 0.1650 0.8938  1 Li 1.88, 1 Ti 1.91, 2 Fe 1.95
O: 0.8350 0.6699 0.8938  1 Li 1.88, 1 Ti 1.91, 2 Fe 1.95
O: 0.9646 0.4823 0.1583  1 Li 1.86, 2 Fe 1.88, 1 Ti 2.06

Results
**Formation energy from raw total energies**: -29.7 eV/f.u.
**Space-group type**: P6_3mc, No. 186
**Relative energy among the computed polymorphs**: 0.12 eV/f.u.
**Magnetic moment**: 8.0 μB per cell

***

A plane-wave DFT calculation with SCAN was carried out for a PBEsol-optimized structure of Li3TiFe3O8.

a = 5.8097 Å, b = 5.8097 Å, c = 5.8097 Å
α = 57.33°, β = 57.33°, γ = 57.33°
Closest atoms and distances in Å follow each position.
Positions (direct):
Li: 0.0000 0.5000 0.5000  6 O 2.10-2.11
Li: 0.5000 0.0000 0.5000  6 O 2.10-2.11
Li: 0.5000 0.5000 0.0000  6 O 2.10-2.11
Ti: 0.5000 0.5000 0.5000  6 O 1.95
Fe: 0.0000 0.0000 0.5000  6 O 1.92-1.93
Fe: 0.0000 0.5000 0.0000  6 O 1.92-1.93
Fe: 0.5000 0.0000 0.0000  6 O 1.92-1.93
O: 0.2368 0.7429 0.7429  2 Fe 1.93, 1 Ti 1.95, 2 Li 2.10
O: 0.2394 0.2394 0.2394  3 Fe 1.92, 3 Li 2.11
O: 0.2571 0.2571 0.7632  2 Fe 1.93, 1 Ti 1.95, 2 Li 2.10
O: 0.2571 0.7632 0.2571  2 Fe 1.93, 1 Ti 1.95, 2 Li 2.10
O: 0.7429 0.2368 0.7429  2 Fe 1.93, 1 Ti 1.95, 2 Li 2.10
O: 0.7429 0.7429 0.2368  2 Fe 1.93, 1 Ti 1.95, 2 Li 2.10
O: 0.7606 0.7606 0.7606  3 Fe 1.92, 3 Li 2.11
O: 0.7632 0.2571 0.2571  2 Fe 1.93, 1 Ti 1.95, 2 Li 2.10

Results
**Formation energy from raw total energies**: -30.2 eV/f.u.
**Space-group type**: R-3m, No. 166
**Magnetic moment**: 15.0 μB per cell

***

A plane-wave DFT calculation with SCAN was carried out for a PBEsol-optimized structure of Li2Ti3FeO8.

a = 5.8563 Å, b = 5.8563 Å, c = 5.8563 Å
α = 60.51°, β = 60.51°, γ = 60.51°
Closest atoms and distances in Å follow each position.
Positions (direct):
Li: 0.0000 0.0000 0.0000  4 O 1.96-1.99
Li: 0.3799 0.3799 0.3799  6 O 2.06-2.07
Ti: 0.3785 0.3785 0.8888  6 O 1.91-2.04
Ti: 0.3785 0.8888 0.3785  6 O 1.91-2.04
Ti: 0.8888 0.3785 0.3785  6 O 1.91-2.04
Fe: 0.7627 0.7627 0.7627  4 O 1.92-1.98
O: 0.1318 0.1318 0.5926  2 Ti 1.91, 2 Li 1.96-2.07
O: 0.1318 0.5926 0.1318  2 Ti 1.91, 2 Li 1.96-2.07
O: 0.1394 0.1394 0.1394  3 Ti 1.99, 1 Li 1.99
O: 0.1608 0.6270 0.6270  1 Fe 1.92, 2 Ti 2.00, 1 Li 2.06
O: 0.5926 0.1318 0.1318  2 Ti 1.91, 2 Li 1.96-2.07
O: 0.6239 0.6239 0.6239  1 Fe 1.98, 3 Ti 2.04
O: 0.6270 0.1608 0.6270  1 Fe 1.92, 2 Ti 2.00, 1 Li 2.06
O: 0.6270 0.6270 0.1608  1 Fe 1.92, 2 Ti 2.00, 1 Li 2.06

Results
**Formation energy from raw total energies**: -39.6 eV/f.u.
**Space-group type**: R3m, No. 160
**Relative energy among the computed polymorphs**: 0.00 eV/f.u.
**Magnetic moment**: 4.0 μB per cell

***

A plane-wave DFT calculation with SCAN was carried out for a PBEsol-optimized structure of Li2Ti3FeO8.

a = 5.8634 Å, b = 5.8634 Å, c = 9.5548 Å
α = 90.00°, β = 90.00°, γ = 120.00°
Closest atoms and distances in Å follow each position.
Positions (direct):
Li: 0.0000 0.0000 0.0000  4 O 1.75-1.92
Li: 0.0000 0.0000 0.5000  4 O 1.75-1.92
Li: 0.3333 0.6667 0.1047  4 O 1.96-2.01
Li: 0.6667 0.3333 0.6047  4 O 1.96-2.01
Ti: 0.1690 0.3380 0.7827  6 O 1.95-1.99
Ti: 0.1690 0.8310 0.7827  6 O 1.95-1.99
Ti: 0.3380 0.1690 0.2827  6 O 1.95-1.99
Ti: 0.6620 0.8310 0.7827  6 O 1.95-1.99
Ti: 0.8310 0.1690 0.2827  6 O 1.95-1.99
Ti: 0.8310 0.6620 0.2827  6 O 1.95-1.99
Fe: 0.3333 0.6667 0.5062  6 O 2.05-2.14
Fe: 0.6667 0.3333 0.0062  6 O 2.05-2.14
O: 0.0000 0.0000 0.1835  1 Li 1.75, 3 Ti 1.96
O: 0.0000 0.0000 0.6835  1 Li 1.75, 3 Ti 1.96
O: 0.0354 0.5177 0.6652  2 Ti 1.95, 1 Li 1.96, 1 Fe 2.14
O: 0.1610 0.3220 0.3951  1 Li 1.92, 2 Ti 1.99, 1 Fe 2.05
O: 0.1610 0.8390 0.3951  1 Li 1.92, 2 Ti 1.99, 1 Fe 2.05
O: 0.3220 0.1610 0.8951  1 Li 1.92, 2 Ti 1.99, 1 Fe 2.05
O: 0.3333 0.6667 0.8944  3 Ti 1.98, 1 Li 2.01
O: 0.4823 0.5177 0.6652  2 Ti 1.95, 1 Li 1.96, 1 Fe 2.14
O: 0.4823 0.9646 0.6652  2 Ti 1.95, 1 Li 1.96, 1 Fe 2.14
O: 0.5177 0.0354 0.1652  2 Ti 1.95, 1 Li 1.96, 1 Fe 2.14
O: 0.5177 0.4823 0.1652  2 Ti 1.95, 1 Li 1.96, 1 Fe 2.14
O: 0.6667 0.3333 0.3944  3 Ti 1.98, 1 Li 2.01
O: 0.6780 0.8390 0.3951  1 Li 1.92, 2 Ti 1.99, 1 Fe 2.05
O: 0.8390 0.1610 0.8951  1 Li 1.92, 2 Ti 1.99, 1 Fe 2.05
O: 0.8390 0.6780 0.8951  1 Li 1.92, 2 Ti 1.99, 1 Fe 2.05
O: 0.9646 0.4823 0.1652  2 Ti 1.95, 1 Li 1.96, 1 Fe 2.14

Results
**Formation energy from raw total energies**: -39.5 eV/f.u.
**Space-group type**: P6_3mc, No. 186
**Relative energy among the computed polymorphs**: 0.12 eV/f.u.
**Magnetic moment**: 8.0 μB per cell

***

A plane-wave DFT calculation with SCAN was carried out for a PBEsol-optimized structure of Li2Ti2FeO6.

a = 5.1141 Å, b = 5.1141 Å, c = 10.3028 Å
α = 90.00°, β = 90.00°, γ = 59.17°
Closest atoms and distances in Å follow each position.
Positions (direct):
Li: 0.1691 0.3309 0.2500  4 O 1.98-2.04
Li: 0.3309 0.1691 0.7500  4 O 1.98-2.04
Li: 0.6691 0.8309 0.2500  4 O 1.98-2.04
Li: 0.8309 0.6691 0.7500  4 O 1.98-2.04
Ti: 0.1624 0.1624 0.0000  6 O 1.94-1.99
Ti: 0.3376 0.3376 0.5000  6 O 1.94-1.99
Ti: 0.6624 0.6624 0.5000  6 O 1.94-1.99
Ti: 0.8376 0.8376 0.0000  6 O 1.94-1.99
Fe: 0.0000 0.0000 0.5000  6 O 1.99-2.18
Fe: 0.5000 0.5000 0.0000  6 O 1.99-2.18
O: 0.0045 0.3615 0.6093  2 Li 1.98-2.04, 2 Ti 1.98-1.99, 1 Fe 2.18
O: 0.1385 0.4955 0.8906  2 Li 1.98-2.04, 2 Ti 1.98-1.99, 1 Fe 2.18
O: 0.1601 0.8399 0.0983  2 Ti 1.94, 1 Fe 1.99
O: 0.3399 0.6601 0.5983  2 Ti 1.94, 1 Fe 1.99
O: 0.3615 0.0045 0.3906  2 Li 1.98-2.04, 2 Ti 1.98-1.99, 1 Fe 2.18
O: 0.4955 0.1385 0.1094  2 Li 1.98-2.04, 2 Ti 1.98-1.99, 1 Fe 2.18
O: 0.5045 0.8615 0.8906  2 Li 1.98-2.04, 2 Ti 1.98-1.99, 1 Fe 2.18
O: 0.6385 0.9955 0.6093  2 Li 1.98-2.04, 2 Ti 1.98-1.99, 1 Fe 2.18
O: 0.6601 0.3399 0.4017  2 Ti 1.94, 1 Fe 1.99
O: 0.8399 0.1601 0.9017  2 Ti 1.94, 1 Fe 1.99
O: 0.8615 0.5045 0.1094  2 Li 1.98-2.04, 2 Ti 1.98-1.99, 1 Fe 2.18
O: 0.9955 0.6385 0.3906  2 Li 1.98-2.04, 2 Ti 1.98-1.99, 1 Fe 2.18

Results
**Formation energy from raw total energies**: -28.9 eV/f.u.
**Space-group type**: Cmce, No. 64
**Magnetic moment**: 8.0 μB per cell

***

Copy entry 4 word for word.
A plane-wave DFT calculation with SCAN was carried out for a PBEsol-optimized structure of Li3TiFe3O8.

a = 5.8097 Å, b = 5.8097 Å, c = 5.8097 Å
α = 57.33°, β = 57.33°, γ = 57.33°
Closest atoms and distances in Å follow each position.
Positions (direct):
Li: 0.0000 0.5000 0.5000  6 O 2.10-2.11
Li: 0.5000 0.0000 0.5000  6 O 2.10-2.11
Li: 0.5000 0.5000 0.0000  6 O 2.10-2.11
Ti: 0.5000 0.5000 0.5000  6 O 1.95
Fe: 0.0000 0.0000 0.5000  6 O 1.92-1.93
Fe: 0.0000 0.5000 0.0000  6 O 1.92-1.93
Fe: 0.5000 0.0000 0.0000  6 O 1.92-1.93
O: 0.2368 0.7429 0.7429  2 Fe 1.93, 1 Ti 1.95, 2 Li 2.10
O: 0.2394 0.2394 0.2394  3 Fe 1.92, 3 Li 2.11
O: 0.2571 0.2571 0.7632  2 Fe 1.93, 1 Ti 1.95, 2 Li 2.10
O: 0.2571 0.7632 0.2571  2 Fe 1.93, 1 Ti 1.95, 2 Li 2.10
O: 0.7429 0.2368 0.7429  2 Fe 1.93, 1 Ti 1.95, 2 Li 2.10
O: 0.7429 0.7429 0.2368  2 Fe 1.93, 1 Ti 1.95, 2 Li 2.10
O: 0.7606 0.7606 0.7606  3 Fe 1.92, 3 Li 2.11
O: 0.7632 0.2571 0.2571  2 Fe 1.93, 1 Ti 1.95, 2 Li 2.10

Results
**Formation energy from raw total energies**: -30.2 eV/f.u.
**Space-group type**: R-3m, No. 166
**Magnetic moment**: 15.0 μB per cell

***

Which of these has the highest formation energy from raw total energies? Li2Ti2FeO6

***

Look up the magnetic moment of the first one. 4.1 μB per cell